[1]
The following is a GGA-PBE calculation of an optimized crystal structure of YU2PdS6, from Alexandria.

Computed properties:
E   -6.8436 eV per atom
ΔE_f (raw)   -944 meV/atom

Cell: 6.789 5.931 5.931 Å, 90.00 90.00 90.00°
Last column: magnetic moment on the atom in μB.
Sites, in units of the cell vectors:
Y 0.552 0.500 0.500  -0.01
S 0.758 0.240 0.240  -0.08
S 0.758 0.760 0.760  -0.08
S 0.169 0.000 0.000  -0.08
S 0.758 0.240 0.760  -0.08
S 0.758 0.760 0.240  -0.08
S 0.159 0.500 0.500  -0.04
Pd 0.519 0.000 0.000  -0.14
U 0.007 0.500 0.000  2.10
U 0.007 0.000 0.500  2.10

***

[2]
The following is a GGA-PBE calculation of an optimized crystal structure of InPIrO2, from Alexandria.

Computed properties:
E   -4.7746 eV per atom
ΔE_f (raw)   611 meV/atom
Relative energy among the computed polymorphs   871 meV/atom

Cell: 3.836 3.836 6.386 Å, 90.00 90.00 90.00°
Last column: magnetic moment on the atom in μB.
Sites, in units of the cell vectors:
P 0.000 0.000 0.500  0.04
O 0.500 0.000 0.000  0.33
O 0.000 0.500 0.000  0.33
In 0.000 0.000 0.000  0.02
Ir 0.500 0.500 0.500  0.83

***

[3]
The following is a GGA-PBE calculation of an optimized crystal structure of U6Tc2Ru, from Alexandria.

Computed properties:
E   -10.9895 eV per atom

Cell: 2.782 8.632 8.632 Å, 56.44 71.21 71.21°
Sites, in units of the cell vectors:
U 0.178 0.335 0.999
U 0.178 0.999 0.335
U 0.511 0.666 0.335
U 0.848 0.666 0.999
U 0.511 0.335 0.666
U 0.848 0.999 0.666
Ru 0.889 0.000 0.000
Tc 0.202 0.333 0.333
Tc 0.834 0.667 0.667

***

[4]
The following is a GGA-PBE calculation of an optimized crystal structure of Zr2CrBr, from Alexandria.

Computed properties:
E   -6.7526 eV per atom
ΔE_f (raw)   346 meV/atom
Relative energy among the computed polymorphs   563 meV/atom

Cell: 3.404 5.299 4.559 Å, 90.00 90.00 90.00°
Last column: magnetic moment on the atom in μB.
Sites, in units of the cell vectors:
Br 0.500 0.000 0.500  0.02
Zr 0.500 0.500 0.000  -0.28
Zr 0.000 0.000 0.000  -0.17
Cr 0.000 0.500 0.500  3.05

***

[5]
The following is a GGA-PBE calculation of an optimized crystal structure of Rb5Er2I12, from Alexandria.

Computed properties:
E   -3.0389 eV per atom
ΔE_f (raw)   -1325 meV/atom

Cell: 8.698 11.171 11.971 Å, 106.75 90.00 112.91°
Last column: magnetic moment on the atom in μB.
Sites, in units of the cell vectors:
Rb 0.309 0.617 0.160  0.00
Rb 0.296 0.592 0.645  0.00
Rb 0.000 0.000 0.500  0.00
Rb 0.691 0.383 0.840  0.00
Rb 0.704 0.408 0.355  0.00
I 0.995 0.989 0.820  0.00
I 0.595 0.697 0.928  0.00
I 0.101 0.697 0.928  0.00
I 0.878 0.291 0.569  0.15
I 0.504 0.009 0.183  0.00
I 0.496 0.991 0.817  0.00
I 0.005 0.011 0.180  0.00
I 0.587 0.709 0.431  0.15
I 0.122 0.709 0.431  0.15
I 0.413 0.291 0.569  0.15
I 0.405 0.303 0.072  0.00
I 0.899 0.303 0.072  0.00
Er 0.750 0.000 0.000  0.00
Er 0.250 0.000 0.000  0.00

***

[6]
The following is a GGA-PBE calculation of an optimized crystal structure of KCoSi2, from Alexandria.

Computed properties:
E   -4.7705 eV per atom
ΔE_f (raw)   -8 meV/atom
Relative energy among the computed polymorphs   10 meV/atom

Cell: 4.053 4.053 7.068 Å, 82.36 82.36 43.59°
Last column: magnetic moment on the atom in μB.
Sites, in units of the cell vectors:
Si 0.976 0.976 0.116  0.03
Si 0.524 0.524 0.384  0.03
K 0.750 0.750 0.750  0.01
Co 0.250 0.250 0.250  0.85

***

[7]
The following is a GGA-PBE calculation of an optimized crystal structure of La3P2S, from Alexandria.

Computed properties:
E   -6.7845 eV per atom
ΔE_f (raw)   -1830 meV/atom

Cell: 4.241 5.995 7.336 Å, 114.12 106.80 90.00°
Sites, in units of the cell vectors:
P 0.166 0.166 0.833
P 0.834 0.834 0.167
S 0.500 0.500 0.500
La 0.500 0.000 0.500
La 0.169 0.669 0.839
La 0.831 0.331 0.161

***

[8]
The following is a GGA-PBE calculation of an optimized crystal structure of Li4Tc, from Alexandria.

Computed properties:
E   -2.9730 eV per atom
Relative energy among the computed polymorphs   0 meV/atom

Cell: 6.596 6.596 6.596 Å, 149.13 149.13 44.23°
Last column: magnetic moment on the atom in μB.
Sites, in units of the cell vectors:
Li 0.407 0.407 0.000  0.00
Li 0.593 0.593 0.000  0.00
Li 0.750 0.250 0.500  -0.01
Li 0.250 0.750 0.500  -0.01
Tc 0.000 0.000 0.000  1.90

***

Record order is preserved below.
Total magnetization: 3.77, 1.80, 0.00, 2.76, 0.96, 1.04, 0.00, 2.12 μB per cell